Entry 1:
This record from Alexandria describes a geometry-optimized RbLiSeO4 structure. The functional is PBE.

CIF file:
```
data_RbLiSeO4
_cell_length_a 5.810
_cell_length_b 5.810
_cell_length_c 8.051
_cell_angle_alpha 90.00
_cell_angle_beta 90.00
_cell_angle_gamma 90.00
_symmetry_space_group_name_H-M 'I -4'
_symmetry_Int_Tables_number 82
loop_
_symmetry_equiv_pos_as_xyz
'x,y,z'
'y,-x,-z'
'-x,-y,z'
'-y,x,-z'
'x+1/2,y+1/2,z+1/2'
'y+1/2,-x+1/2,-z+1/2'
'-x+1/2,-y+1/2,z+1/2'
'-y+1/2,x+1/2,-z+1/2'
loop_
_atom_site_label
_atom_site_type_symbol
_atom_site_fract_x
_atom_site_fract_y
_atom_site_fract_z
Rb1 Rb 0.000 0.000 0.000
Li1 Li 0.000 0.000 0.500
Se1 Se 0.000 0.500 0.250
O1 O 0.086 0.721 0.367
```

V in Å³/cell: 271.80
Energy relative to the elements, uncorrected in eV per atom: -1.40
Total magnetization in μB per formula unit: 0.00
VASP energy in eV per atom: -5.141

Entry 2:
This record from Alexandria describes a geometry-optimized Ba4NaRh structure. The functional is PBE.

CIF file:
```
data_Ba4NaRh
_cell_length_a 11.496
_cell_length_b 10.073
_cell_length_c 12.006
_cell_angle_alpha 90.00
_cell_angle_beta 121.42
_cell_angle_gamma 90.00
_symmetry_space_group_name_H-M 'P 1 21/c 1'
_symmetry_Int_Tables_number 14
loop_
_symmetry_equiv_pos_as_xyz
'x,y,z'
'-x,-y,-z'
'-x,y+1/2,-z+1/2'
'x,-y+1/2,z+1/2'
loop_
_atom_site_label
_atom_site_type_symbol
_atom_site_fract_x
_atom_site_fract_y
_atom_site_fract_z
Ba1 Ba 0.091 0.187 0.045
Ba2 Ba 0.179 0.564 0.896
Ba3 Ba 0.180 0.563 0.283
Ba4 Ba 0.409 0.249 0.455
Na1 Na 0.403 0.569 0.701
Rh1 Rh 0.095 0.250 0.297
```

V in Å³/cell: 1186.47
ΔE to the lowest computed polymorph in meV/atom: 4
Calculated formation energy in eV/atom: -0.08
Total magnetization in μB per formula unit: 0.00
VASP energy in eV per atom: -2.809

Entry 3:
This record from Alexandria describes a geometry-optimized AcLa3Nd2P6 structure. The functional is PBE.

CIF file:
```
data_AcLa3Nd2P6
_cell_length_a 7.401
_cell_length_b 12.818
_cell_length_c 7.395
_cell_angle_alpha 90.00
_cell_angle_beta 109.49
_cell_angle_gamma 90.00
_symmetry_space_group_name_H-M 'C 1 2/m 1'
_symmetry_Int_Tables_number 12
loop_
_symmetry_equiv_pos_as_xyz
'x,y,z'
'-x,-y,-z'
'-x,y,-z'
'x,-y,z'
'x+1/2,y+1/2,z'
'-x+1/2,-y+1/2,-z'
'-x+1/2,y+1/2,-z'
'x+1/2,-y+1/2,z'
loop_
_atom_site_label
_atom_site_type_symbol
_atom_site_fract_x
_atom_site_fract_y
_atom_site_fract_z
Ac1 Ac 0.000 0.000 0.000
La1 La 0.000 0.166 0.500
La2 La 0.000 0.500 0.500
Nd1 Nd 0.000 0.333 0.000
P1 P 0.242 0.500 0.250
P2 P 0.246 0.329 0.750
```

V in Å³/cell: 661.35
Calculated formation energy in eV/atom: -1.53
Total magnetization in μB per formula unit: 0.00
VASP energy in eV per atom: -6.607

Entry 4:
This record from Alexandria describes a geometry-optimized RbNaCd2 structure. The functional is PBE.

CIF file:
```
data_RbNaCd2
_cell_length_a 5.1262
_cell_length_b 5.1262
_cell_length_c 20.4466
_cell_angle_alpha 90.00
_cell_angle_beta 90.00
_cell_angle_gamma 120.00
_symmetry_space_group_name_H-M 'R 3 m'
_symmetry_Int_Tables_number 160
_symmetry_space_group_name_Hall 'R 3 -2"'
loop_
_atom_site_label
_atom_site_type_symbol
_atom_site_fract_x
_atom_site_fract_y
_atom_site_fract_z
Rb1 Rb 0.0000 0.0000 0.0000
Na1 Na 0.0000 0.0000 0.1931
Cd1 Cd 0.0000 0.0000 0.4631
Cd2 Cd 0.0000 0.0000 0.7949
```

V in Å³/cell: 465.32
ΔE to the lowest computed polymorph in meV/atom: 0
Calculated formation energy in eV/atom: -0.06
Total magnetization in μB per formula unit: 0.00
VASP energy in eV per atom: -1.092

Which formula does entry 1 have? RbLiSeO4